Entry 1:
Here is a relaxed Cs2KCoO crystal from Alexandria via LeMat-Bulk. Energies are from PBE+U.

Lattice parameters (Å, degrees): 7.3432 3.7533 7.3432 90.00 90.00 90.00
Closest atoms and distances in Å follow each position.
Element x y z (fractional)
Cs (0.0000, 0.0000, 0.5000)  2 O 3.67, 2 Cs 3.75
Cs (0.5000, 0.0000, 0.0000)  2 O 3.67, 2 Cs 3.75
K (0.5000, 0.5000, 0.5000)  2 K 3.75, 8 Cs 4.12
Co (0.0000, 0.5000, 0.0000)  2 O 1.88
O (0.0000, 0.0000, 0.0000)  2 Co 1.88

Entry 2:
Here is a relaxed CsK2CoO2 crystal from Alexandria via LeMat-Bulk. Energies are from PBE+U.

Lattice parameters (Å, degrees): 5.3342 5.3342 6.2401 115.30 115.30 90.00
Closest atoms and distances in Å follow each position.
Element x y z (fractional)
Cs (0.0000, 0.0000, 0.0000)  2 O 3.20
K (0.2500, 0.7500, 0.5000)  4 O 2.76
K (0.7500, 0.2500, 0.5000)  4 O 2.76
Co (0.5000, 0.5000, 0.0000)  2 O 1.77
O (0.6781, 0.6781, 0.3562)  1 Co 1.77
O (0.3219, 0.3219, 0.6438)  1 Co 1.77

Number 1: total energy -2.757 eV per atom. Number 2: total energy -4.083 eV per atom.